AlCuW2 | PBEsol | relaxed Values from VASP.

Computed properties:
Uncorrected energy = -8.83 eV per atom
Energy of formation = 0.1764 eV/atom
V = 57.9 Å³/cell
Theoretical density = 13.15 g/cm3

Quantum ESPRESSO input file:
```
&SYSTEM
  ibrav = 0, nat = 4, ntyp = 3
/
ATOMIC_SPECIES
Al 26.98 Al.upf
Cu 63.55 Cu.upf
W 183.84 W.upf
CELL_PARAMETERS angstrom
2.6607 0.0000 0.0000
-1.3303 4.5404 0.0079
0.0000 -0.6538 4.7895
ATOMIC_POSITIONS crystal
Al 0.4951 0.9903 0.4872
Cu 0.7520 0.5040 0.2599
W 0.2466 0.4932 0.7535
W 0.0063 0.0125 0.9994
```

=====

AlCu3W | PBEsol | relaxed Values from VASP.

Computed properties:
Uncorrected energy = -4.90 eV per atom
Energy of formation = 1.2795 eV/atom
V = 73.3 Å³/cell
Theoretical density = 9.10 g/cm3

Quantum ESPRESSO input file:
```
&SYSTEM
  ibrav = 0, nat = 5, ntyp = 3
/
ATOMIC_SPECIES
Cu 63.55 Cu.upf
Al 26.98 Al.upf
W 183.84 W.upf
CELL_PARAMETERS angstrom
4.1848 0.0000 0.0000
0.0000 4.1848 0.0000
0.0000 0.0000 4.1848
ATOMIC_POSITIONS crystal
Cu 0.0000 0.5000 0.0000
Cu 0.5000 0.0000 0.0000
Cu 0.0000 0.0000 0.5000
Al 0.0000 0.0000 0.0000
W 0.5000 0.5000 0.5000
```

=====

AlCuW2 | PBEsol | relaxed Values from VASP.

Computed properties:
Uncorrected energy = -8.86 eV per atom
Energy of formation = 0.1485 eV/atom
V = 57.5 Å³/cell
Theoretical density = 13.23 g/cm3

Quantum ESPRESSO input file:
```
&SYSTEM
  ibrav = 0, nat = 4, ntyp = 3
/
ATOMIC_SPECIES
W 183.84 W.upf
Cu 63.55 Cu.upf
Al 26.98 Al.upf
CELL_PARAMETERS angstrom
2.6597 0.0093 0.0153
-0.4930 4.9253 0.0042
-0.4930 -2.2483 4.3822
ATOMIC_POSITIONS crystal
W 0.0000 0.5000 0.0000
W 0.0000 0.0000 0.5000
Cu 0.5000 0.5000 0.5000
Al 0.5000 0.0000 0.0000
```

=====

AlCuW3 | PBEsol | relaxed Values from VASP.

Computed properties:
Uncorrected energy = -7.77 eV per atom
Energy of formation = 2.2019 eV/atom
V = 89.1 Å³/cell
Theoretical density = 11.97 g/cm3

Quantum ESPRESSO input file:
```
&SYSTEM
  ibrav = 0, nat = 5, ntyp = 3
/
ATOMIC_SPECIES
Al 26.98 Al.upf
W 183.84 W.upf
Cu 63.55 Cu.upf
CELL_PARAMETERS angstrom
4.4658 0.0000 0.0000
0.0000 4.4658 0.0000
0.0000 0.0000 4.4658
ATOMIC_POSITIONS crystal
Al 0.0000 0.0000 0.0000
W 0.5000 0.0000 0.0000
W 0.0000 0.0000 0.5000
W 0.0000 0.5000 0.0000
Cu 0.5000 0.5000 0.5000
```

=====

YAl8Cu4 | PBEsol | relaxed Values from VASP.

Computed properties:
Uncorrected energy = -4.70 eV per atom
Energy of formation = -0.3206 eV/atom
V = 193.3 Å³/cell
Theoretical density = 4.80 g/cm3

Quantum ESPRESSO input file:
```
&SYSTEM
  ibrav = 0, nat = 13, ntyp = 3
/
ATOMIC_SPECIES
Cu 63.55 Cu.upf
Al 26.98 Al.upf
Y 88.91 Y.upf
CELL_PARAMETERS angstrom
5.0882 0.0000 0.0000
2.5441 6.1637 0.0000
2.5441 0.0000 6.1637
ATOMIC_POSITIONS crystal
Cu 0.5000 0.5000 0.0000
Cu 0.5000 0.0000 0.5000
Cu 0.0000 0.5000 0.0000
Cu 0.0000 0.0000 0.5000
Al 0.5000 0.7815 0.2185
Al 0.7185 0.7815 0.7815
Al 0.0000 0.3472 0.6528
Al 0.5000 0.2185 0.7815
Al 0.3472 0.6528 0.6528
Al 0.6528 0.3472 0.3472
Al 0.2815 0.2185 0.2185
Al 0.0000 0.6528 0.3472
Y 0.0000 0.0000 0.0000
```

=====

YAl2Cu2 | PBEsol | relaxed Values from VASP.

Computed properties:
Uncorrected energy = -5.16 eV per atom
Energy of formation = -0.4263 eV/atom
V = 83.8 Å³/cell
Theoretical density = 5.35 g/cm3

Quantum ESPRESSO input file:
```
&SYSTEM
  ibrav = 0, nat = 5, ntyp = 3
/
ATOMIC_SPECIES
Cu 63.55 Cu.upf
Y 88.91 Y.upf
Al 26.98 Al.upf
CELL_PARAMETERS angstrom
4.0067 0.0000 0.0000
0.0000 4.0067 0.0000
-2.0034 -2.0034 5.2218
ATOMIC_POSITIONS crystal
Cu 0.6133 0.6133 0.2265
Cu 0.3867 0.3867 0.7735
Y 0.0000 0.0000 0.0000
Al 0.7500 0.2500 0.5000
Al 0.2500 0.7500 0.5000
```